DFT (GGA-PBE) results for an optimized crystal structure of YAgW2.

Summary:
**Energy relative to the elements**: 0.648 eV/atom
**SG**: No. 160
**Electronic total energy**: -8.16 eV/atom

extended XYZ file:
```
4
Lattice="-0.417 -6.881 -7.876 -0.352 -8.779 -5.688 -2.876 -7.643 -6.547" Properties=species:S:1:pos:R:3 pbc="T T T"
Ag -2.716 -17.359 -14.982
W -3.642 -23.283 -20.094
W -0.931 -5.951 -5.136
Y -1.825 -11.664 -10.067
```

---

DFT (GGA-PBE) results for an optimized crystal structure of YAgW2.

Summary:
**Energy relative to the elements**: 0.324 eV/atom
**SG**: No. 99
**Electronic total energy**: -8.48 eV/atom

extended XYZ file:
```
4
Lattice="3.288 0.000 0.000 0.000 3.288 0.000 0.000 0.000 7.358" Properties=species:S:1:pos:R:3 pbc="T T T"
Ag 1.644 1.644 5.747
W 0.000 0.000 0.225
W 1.644 1.644 1.487
Y 0.000 0.000 3.577
```